No. 1
Ta2CdRu after structural relaxation. Source: Alexandria, functional PBEsol. Values from VASP.

Properties
DFT formation energy: 0.115 eV/atom
Crystal system: tetragonal
Total energy: -9.0028 eV per atom

The structure in Quantum ESPRESSO input format:
```
&SYSTEM
  ibrav = 0, nat = 4, ntyp = 3
/
ATOMIC_SPECIES
Ta 180.95 Ta.upf
Cd 112.41 Cd.upf
Ru 101.07 Ru.upf
ATOMIC_POSITIONS angstrom
Ta 0.0000 1.9978 0.0000
Ta 1.9978 0.0000 0.0000
Cd 0.0000 0.0000 2.0646
Ru 1.9978 1.9978 2.0646
CELL_PARAMETERS angstrom
3.9956 0.0000 0.0000
0.0000 3.9956 0.0000
0.0000 0.0000 4.1291
```

No. 2
Ta2CdRu after structural relaxation. Source: Alexandria, functional PBEsol. Values from VASP.

Properties
DFT formation energy: 0.290 eV/atom
Crystal system: cubic
Total energy: -8.8283 eV per atom

The structure in Quantum ESPRESSO input format:
```
&SYSTEM
  ibrav = 0, nat = 4, ntyp = 3
/
ATOMIC_SPECIES
Ta 180.95 Ta.upf
Cd 112.41 Cd.upf
Ru 101.07 Ru.upf
ATOMIC_POSITIONS angstrom
Ta 0.0000 0.0000 0.0000
Ta 1.6102 1.6102 1.6102
Cd 4.8305 4.8305 4.8305
Ru 3.2203 3.2203 3.2203
CELL_PARAMETERS angstrom
0.0000 3.2203 3.2203
3.2203 0.0000 3.2203
3.2203 3.2203 0.0000
```

No. 3
Cd2TcRu after structural relaxation. Source: Alexandria, functional PBEsol. Values from VASP.

Properties
DFT formation energy: 0.601 eV/atom
Crystal system: tetragonal
Total energy: -5.3571 eV per atom

The structure in Quantum ESPRESSO input format:
```
&SYSTEM
  ibrav = 0, nat = 4, ntyp = 3
/
ATOMIC_SPECIES
Cd 112.41 Cd.upf
Tc 98.00 Tc.upf
Ru 101.07 Ru.upf
ATOMIC_POSITIONS angstrom
Cd 0.0000 1.9278 0.0000
Cd 1.9278 0.0000 0.0000
Tc 0.0000 0.0000 2.1814
Ru 1.9278 1.9278 2.1814
CELL_PARAMETERS angstrom
3.8555 0.0000 0.0000
0.0000 3.8555 0.0000
0.0000 0.0000 4.3629
```

No. 4
CdTcRu after structural relaxation. Source: Alexandria, functional PBEsol. Values from VASP.

Properties
DFT formation energy: 0.467 eV/atom
Crystal system: trigonal
Total energy: -7.0781 eV per atom

The structure in Quantum ESPRESSO input format:
```
&SYSTEM
  ibrav = 0, nat = 3, ntyp = 3
/
ATOMIC_SPECIES
Cd 112.41 Cd.upf
Tc 98.00 Tc.upf
Ru 101.07 Ru.upf
ATOMIC_POSITIONS angstrom
Cd 0.0000 0.0000 0.0000
Tc 0.0000 2.5189 1.2633
Ru 2.1814 1.2595 1.5910
CELL_PARAMETERS angstrom
4.3629 0.0000 0.0000
-2.1814 3.7784 0.0000
0.0000 0.0000 2.8098
```

No. 5
Cd2TcRu after structural relaxation. Source: Alexandria, functional PBEsol. Values from VASP.

Properties
DFT formation energy: 0.546 eV/atom
Crystal system: orthorhombic
Total energy: -5.4127 eV per atom

The structure in Quantum ESPRESSO input format:
```
&SYSTEM
  ibrav = 0, nat = 4, ntyp = 3
/
ATOMIC_SPECIES
Cd 112.41 Cd.upf
Tc 98.00 Tc.upf
Ru 101.07 Ru.upf
ATOMIC_POSITIONS angstrom
Cd 0.0000 0.0000 2.3381
Cd 0.0000 0.0000 7.1743
Tc 0.0000 2.3086 0.0000
Ru 1.4724 0.0000 0.0000
CELL_PARAMETERS angstrom
-1.4724 2.3086 4.7562
1.4724 -2.3086 4.7562
1.4724 2.3086 -4.7562
```

No. 6
CdTcRu after structural relaxation. Source: Alexandria, functional PBEsol. Values from VASP.

Properties
DFT formation energy: 0.160 eV/atom
Crystal system: tetragonal
Total energy: -7.3853 eV per atom

The structure in Quantum ESPRESSO input format:
```
&SYSTEM
  ibrav = 0, nat = 3, ntyp = 3
/
ATOMIC_SPECIES
Cd 112.41 Cd.upf
Tc 98.00 Tc.upf
Ru 101.07 Ru.upf
ATOMIC_POSITIONS angstrom
Cd 0.0000 0.0000 0.0000
Tc 0.0000 0.0000 3.6671
Ru 0.0000 0.0000 7.9617
CELL_PARAMETERS angstrom
-1.4100 1.4100 5.8363
1.4100 -1.4100 5.8363
1.4100 1.4100 -5.8363
```

No. 7
CdTeRu3 after structural relaxation. Source: Alexandria, functional PBEsol. Values from VASP.

Properties
Formation energy without anion corrections: 1.474 eV per atom
Crystal system: cubic
Total energy: -5.5736 eV per atom

The structure in Quantum ESPRESSO input format:
```
&SYSTEM
  ibrav = 0, nat = 5, ntyp = 3
/
ATOMIC_SPECIES
Cd 112.41 Cd.upf
Te 127.60 Te.upf
Ru 101.07 Ru.upf
ATOMIC_POSITIONS angstrom
Cd 0.0000 0.0000 0.0000
Te 2.3647 2.3647 2.3647
Ru 0.0000 2.3647 2.3647
Ru 2.3647 0.0000 2.3647
Ru 2.3647 2.3647 0.0000
CELL_PARAMETERS angstrom
4.7294 0.0000 0.0000
0.0000 4.7294 0.0000
0.0000 0.0000 4.7294
```

No. 8
CdTe2Ru after structural relaxation. Source: Alexandria, functional PBEsol. Values from VASP.

Properties
Formation energy without anion corrections: 0.699 eV per atom
Crystal system: cubic
Total energy: -3.9068 eV per atom

The structure in Quantum ESPRESSO input format:
```
&SYSTEM
  ibrav = 0, nat = 4, ntyp = 3
/
ATOMIC_SPECIES
Cd 112.41 Cd.upf
Te 127.60 Te.upf
Ru 101.07 Ru.upf
ATOMIC_POSITIONS angstrom
Cd 0.0000 0.0000 0.0000
Te 3.4836 3.4836 3.4836
Te 5.2254 5.2254 5.2254
Ru 1.7418 1.7418 1.7418
CELL_PARAMETERS angstrom
0.0000 3.4836 3.4836
3.4836 0.0000 3.4836
3.4836 3.4836 0.0000
```